[1]
The following is a GGA-PBE calculation of an optimized crystal structure of SrLa2Sb2, from Alexandria.

Lattice parameters (Å, degrees): 4.836 4.836 8.261 72.98 72.98 90.00
Positions (direct):
Sb 0.396 0.396 0.208
Sb 0.604 0.604 0.792
La 0.250 0.750 0.500
La 0.750 0.250 0.500
Sr 0.000 0.000 0.000

The calculated density is 5749 kg/m3. As for the space group: I4/mmm (139). The value obtained for the distance to the lowest polymorph of the same formula is 0.266 eV/atom.

[2]
The following is a GGA-PBE calculation of an optimized crystal structure of SrLaSb2, from Alexandria.

Lattice parameters (Å, degrees): 5.671 5.671 5.671 60.00 60.00 60.00
Positions (direct):
Sb 0.750 0.750 0.750
Sb 0.250 0.250 0.250
La 0.500 0.500 0.500
Sr 0.000 0.000 0.000

The calculated density is 6053 kg/m3. As for the space group: Fm-3m (225). The value obtained for the distance to the lowest polymorph of the same formula is 0.098 eV/atom.

[3]
The following is a GGA-PBE calculation of an optimized crystal structure of SrLaSb2Te, from Alexandria.

Lattice parameters (Å, degrees): 5.809 5.809 5.929 90.00 90.00 90.00
Positions (direct):
La 0.500 0.500 0.500
Sr 0.000 0.000 0.000
Sb 0.000 0.500 0.000
Sb 0.500 0.000 0.000
Te 0.000 0.000 0.500

The calculated density is 4961 kg/m3. As for the space group: P4/mmm (123). The value obtained for the distance to the lowest polymorph of the same formula is 0.366 eV/atom.

Number 1: ΔE_f (raw) -0.769 eV per atom. Number 2: ΔE_f (raw) -0.902 eV per atom. Number 3: ΔE_f (raw) -0.018 eV per atom.